# 1
A geometry-optimized Sr2CdHg structure. Source: Alexandria via LeMat-Bulk, functional PBE.

Cell and atoms, written as extended XYZ:
```
8
Lattice="-4.4352 4.4352 3.9655 4.4352 -4.4352 3.9655 4.4352 4.4352 -3.9655" Properties=species:S:1:pos:R:3 pbc="T T T"
Sr 2.2176 2.1334 -0.9914
Sr 2.3018 -2.2176 4.9569
Sr 2.2176 2.3018 2.9742
Sr 2.1334 6.6528 0.9914
Cd 4.4352 0.0000 1.9828
Cd 0.0000 0.0000 3.9655
Hg 0.0000 0.0000 0.0000
Hg 0.0000 4.4352 1.9828
```

## Properties
**Space-group type**: I-42d
**Calculated formation energy**: -171 meV/atom



# 2
A geometry-optimized Rb3PdI6 structure. Source: Alexandria via LeMat-Bulk, functional PBE.

Cell and atoms, written as extended XYZ:
```
10
Lattice="-4.3877 4.3877 6.1924 4.3877 -4.3877 6.1924 4.3877 4.3877 -6.1924" Properties=species:S:1:pos:R:3 pbc="T T T"
Rb 0.0000 0.0000 0.0000
Rb 4.3877 0.0000 3.0962
Rb 0.0000 4.3877 3.0962
Pd 0.0000 0.0000 6.1924
I 0.0000 0.0000 3.4339
I 2.4309 2.4309 0.0000
I 1.9567 -1.9567 6.1924
I -1.9567 1.9567 6.1924
I 0.0000 0.0000 8.9509
I 1.9567 1.9567 6.1924
```

## Properties
**Space-group type**: I4/mmm
**Electronic total energy**: -2.5838 eV/atom



# 3
A geometry-optimized Fe6NiRh structure. Source: Alexandria via LeMat-Bulk, functional PBE.

Cell and atoms, written as extended XYZ:
```
8
Lattice="2.8882 -4.1342 0.0000 2.8882 4.1342 0.0000 0.0000 0.0000 4.1139" Properties=species:S:1:pos:R:3 pbc="T T T"
Fe 1.4441 2.0671 2.0569
Fe 1.4032 0.0000 0.0000
Fe 2.8882 2.0731 0.0000
Fe 1.4441 -2.0671 2.0569
Fe 2.8882 -2.0731 0.0000
Fe 4.3733 0.0000 0.0000
Ni 0.0000 0.0000 2.0569
Rh 2.8882 0.0000 2.0569
```

## Properties
**Space-group type**: Cmmm
**Calculated formation energy**: 8 meV/atom



# 4
A geometry-optimized Sr2CrBrCl structure. Source: Alexandria via LeMat-Bulk, functional PBE.

Cell and atoms, written as extended XYZ:
```
5
Lattice="6.0825 0.0000 0.0000 0.0000 6.0825 0.0000 0.0000 0.0000 4.7766" Properties=species:S:1:pos:R:3 pbc="T T T"
Sr 0.0000 3.0412 0.0000
Sr 3.0412 0.0000 0.0000
Cr 0.0000 0.0000 0.0000
Br 3.0412 3.0412 2.3883
Cl 0.0000 0.0000 2.3883
```

## Properties
**Space-group type**: P4/mmm
**Electronic total energy**: -3.6969 eV/atom



# 5
A geometry-optimized TbEr2Si6 structure. Source: Alexandria via LeMat-Bulk, functional PBE.

Cell and atoms, written as extended XYZ:
```
9
Lattice="7.0810 0.0000 0.0000 -3.5405 6.1324 0.0000 0.0000 0.0000 3.9134" Properties=species:S:1:pos:R:3 pbc="T T T"
Tb 0.0000 0.0000 0.0000
Er 0.0000 4.0882 0.0000
Er 3.5405 2.0441 0.0000
Si -1.1833 2.0496 1.9567
Si -2.3572 4.0828 1.9567
Si 2.3667 0.0000 1.9567
Si 1.1833 2.0496 1.9567
Si 4.7144 0.0000 1.9567
Si 2.3572 4.0828 1.9567
```

## Properties
**Space-group type**: P6/mmm
**Electronic total energy**: -5.6546 eV/atom



# 6
A geometry-optimized Mg2TlCd structure. Source: Alexandria via LeMat-Bulk, functional PBE.

Cell and atoms, written as extended XYZ:
```
4
Lattice="3.3825 0.0000 0.0000 0.0000 3.3825 0.0000 0.0000 0.0000 8.4475" Properties=species:S:1:pos:R:3 pbc="T T T"
Mg 0.0000 0.0000 0.0000
Mg 1.6912 1.6912 2.0331
Tl 0.0000 0.0000 4.2245
Cd 1.6912 1.6912 6.5735
```

## Properties
**Space-group type**: P4mm
**Calculated formation energy**: -10 meV/atom



# 7
A geometry-optimized ErHg2Pd3 structure. Source: Alexandria via LeMat-Bulk, functional PBE.

Cell and atoms, written as extended XYZ:
```
6
Lattice="2.1875 -6.5814 0.0000 2.1875 6.5814 0.0000 0.0000 0.0000 3.8871" Properties=species:S:1:pos:R:3 pbc="T T T"
Er 0.0000 0.0000 0.0000
Hg 2.1875 2.1969 0.0000
Hg 2.1875 -2.1969 0.0000
Pd 2.1875 4.4102 1.9435
Pd 2.1875 0.0000 1.9435
Pd 2.1875 -4.4102 1.9435
```

## Properties
**Space-group type**: Cmmm
**Calculated formation energy**: -533 meV/atom



# 8
A geometry-optimized Rb2BiOs3O12 structure. Source: Alexandria via LeMat-Bulk, functional PBE.

Cell and atoms, written as extended XYZ:
```
18
Lattice="3.6791 2.1241 6.1754 -3.6791 2.1241 6.1754 0.0000 -4.2483 6.1754" Properties=species:S:1:pos:R:3 pbc="T T T"
Rb 0.0000 0.0000 2.2238
Rb 0.0000 0.0000 16.3024
Bi 0.0000 0.0000 9.2631
Os -1.8396 -1.0621 6.1754
Os -1.8396 1.0621 12.3508
Os 0.0000 2.1241 6.1754
O -1.7222 -0.9943 8.0592
O 0.0000 -1.6014 6.0752
O -1.3869 0.8007 6.0752
O 0.0000 -1.9887 10.4670
O -1.7223 0.9943 10.4670
O -1.3869 -0.8007 12.4510
O 1.3869 0.8007 6.0752
O 1.7222 -0.9943 8.0592
O 0.0000 1.9887 8.0592
O 1.3869 -0.8007 12.4510
O 0.0000 1.6014 12.4510
O 1.7223 0.9943 10.4670
```

## Properties
**Space-group type**: R-3m
**Electronic total energy**: -6.6724 eV/atom



# 9
A geometry-optimized ZrZnIn2 structure. Source: Alexandria via LeMat-Bulk, functional PBE.

Cell and atoms, written as extended XYZ:
```
8
Lattice="-3.8689 3.8689 2.9773 3.8689 -3.8689 2.9773 3.8689 3.8689 -2.9773" Properties=species:S:1:pos:R:3 pbc="T T T"
Zr 0.0000 0.0000 0.0000
Zr 0.0000 3.8689 1.4887
Zn 3.8689 0.0000 1.4887
Zn 0.0000 0.0000 2.9773
In 1.9344 -1.6528 2.2330
In 2.2161 1.9344 0.7443
In 1.9344 5.5217 -0.7443
In 1.6528 1.9344 3.7217
```

## Properties
**Space-group type**: I-42d
**Calculated formation energy**: 28 meV/atom



# 10
A geometry-optimized HoGa4Ge structure. Source: Alexandria via LeMat-Bulk, functional PBE.

Cell and atoms, written as extended XYZ:
```
6
Lattice="0.0000 3.8685 3.8685 3.8685 0.0000 3.8685 3.8685 3.8685 0.0000" Properties=species:S:1:pos:R:3 pbc="T T T"
Ho 0.0000 0.0000 0.0000
Ga 2.9042 2.9042 2.9042
Ga 4.8327 4.8327 2.9042
Ga 4.8327 2.9042 4.8327
Ga 2.9042 4.8327 4.8327
Ge 5.8027 5.8027 5.8027
```

## Properties
**Space-group type**: F-43m
**Calculated formation energy**: -187 meV/atom



# 11
A geometry-optimized ZrRe2Hg structure. Source: Alexandria via LeMat-Bulk, functional PBE.

Cell and atoms, written as extended XYZ:
```
4
Lattice="1.6178 -2.3368 0.0000 1.6178 2.3368 0.0000 0.0000 0.0000 9.4323" Properties=species:S:1:pos:R:3 pbc="T T T"
Zr 0.0000 0.0000 0.0000
Re 1.6178 0.0000 2.2681
Re 1.6178 0.0000 7.1642
Hg 0.0000 0.0000 4.7162
```

## Properties
**Space-group type**: Cmmm
**Calculated formation energy**: 442 meV/atom



# 12
A geometry-optimized CaSb2Mo structure. Source: Alexandria via LeMat-Bulk, functional PBE.

Cell and atoms, written as extended XYZ:
```
4
Lattice="5.2032 0.0000 0.0000 0.0000 1.8883 5.2471 0.0000 -1.8883 5.2471" Properties=species:S:1:pos:R:3 pbc="T T T"
Ca 0.0000 0.0000 0.0000
Sb 0.0000 0.0000 7.5732
Sb 2.6016 0.0000 4.3964
Mo 2.6016 0.0000 7.5606
```

## Properties
**Space-group type**: Amm2
**Electronic total energy**: -5.2403 eV/atom



Record order is preserved below.
DOS at the Fermi energy: 7.42, 5.80, 7.29, 4.09, 5.37, 1.42, 2.38, 8.07, 3.23, 1.82, 2.65, 1.45 states/eV per cell